Record 1
This record from Alexandria describes Na2AgSb2 after structural relaxation. The functional is PBEsol.

Unit cell a=5.0372 b=7.1998 c=7.1998 alpha=90.00 beta=90.00 gamma=90.00
With the nearest neighbours (Å) after each atom.
Atoms (fractional coordinates):
Na 0.5000 0.3328 0.1672  6 Sb 3.17-3.37, 1 Na 3.41
Na 0.5000 0.8328 0.3328  6 Sb 3.17-3.37, 1 Na 3.41
Na 0.5000 0.1672 0.6672  6 Sb 3.17-3.37, 1 Na 3.41
Na 0.5000 0.6672 0.8328  6 Sb 3.17-3.37, 1 Na 3.41
Sb 0.0000 0.3569 0.8569  2 Ag 2.77, 1 Sb 2.91
Sb 0.0000 0.1431 0.3569  2 Ag 2.77, 1 Sb 2.91
Sb 0.0000 0.8569 0.6431  2 Ag 2.77, 1 Sb 2.91
Sb 0.0000 0.6431 0.1431  2 Ag 2.77, 1 Sb 2.91
Ag 0.0000 0.0000 0.0000  4 Sb 2.77
Ag 0.0000 0.5000 0.5000  4 Sb 2.77

Total energy: -3.2977 eV/atom
ΔE_f (raw): -122 kJ/mol of formula units
Total moment: 0.00 Bohr magnetons per cell
Density of states at the Fermi level: 3.03 states/eV/cell

=====

Record 2
This record from Alexandria describes BaPH2 after structural relaxation. The functional is PBEsol.

Unit cell a=4.5819 b=4.5819 c=6.5031 alpha=110.63 beta=110.63 gamma=90.00
With the nearest neighbours (Å) after each atom.
Atoms (fractional coordinates):
H 0.6250 0.8750 0.2500  2 P 1.82
H 0.1250 0.3750 0.7500  2 P 1.82
H 0.6250 0.3750 0.7500  2 P 1.82
H 0.6250 0.3750 0.2500  2 P 1.82
P 0.7500 0.2500 0.5000  4 H 1.82
P 0.5000 0.5000 0.0000  4 H 1.82
Ba 0.0000 0.0000 0.0000  8 H 2.92, 4 P 3.24
Ba 0.2500 0.7500 0.5000  8 H 2.92, 4 P 3.24

Total energy: -3.7357 eV/atom
Total moment: 0.00 Bohr magnetons per cell
Density of states at the Fermi level: 3.63 states/eV/cell

=====

Record 3
This record from Alexandria describes Nb3BTe after structural relaxation. The functional is PBEsol.

Unit cell a=4.3787 b=4.3787 c=4.3787 alpha=90.00 beta=90.00 gamma=90.00
With the nearest neighbours (Å) after each atom.
Atoms (fractional coordinates):
Nb 0.0000 0.0000 0.5000  2 B 2.19
Nb 0.0000 0.5000 0.0000  2 B 2.19
Nb 0.5000 0.0000 0.0000  2 B 2.19
Te 0.5000 0.5000 0.5000  12 Nb 3.10
B 0.0000 0.0000 0.0000  6 Nb 2.19

Total energy: -8.5327 eV/atom
ΔE_f (raw): 33 kJ/mol of formula units
Total moment: 0.00 Bohr magnetons per cell
Density of states at the Fermi level: 4.33 states/eV/cell
Offset from the most stable computed form: 0.0000 eV/atom